Below is crystalline BeFeTc at its relaxed geometry, with properties calculated at the PBE level. Values from VASP.

Cell and atoms, written as Quantum ESPRESSO input:
```
&SYSTEM
  ibrav = 0, nat = 3, ntyp = 3
/
ATOMIC_SPECIES
Be 9.01 Be.upf
Tc 98.00 Tc.upf
Fe 55.84 Fe.upf
ATOMIC_POSITIONS crystal
Be 0.500 0.500 0.500
Tc 0.000 0.000 0.000
Fe 0.750 0.750 0.750
CELL_PARAMETERS angstrom
3.783 0.000 0.000
1.891 3.276 0.000
1.891 1.092 3.089
```

Energy of formation from the pure elements = 0.70 eV per formula unit
E above lowest polymorph = 383 meV per atom
Total energy = -7.284 eV/atom
Size of the total moment = 0.6 μB per cell